NiSeO (PBE with a Hubbard U, optimized geometry); magnetization = 4.56 μB/cell; DFT total energy = -3.890 eV per atom
1.0
2.605 1.504 6.048
-2.605 1.504 6.048
0.000 -3.008 6.048
Ni Se O
3 3 3
Cartesian
0.000 0.000 0.000
0.000 0.000 4.438
0.000 0.000 11.834
-1.556 0.213 8.182
0.593 -1.454 8.182
0.963 1.241 8.182
-0.915 -1.505 11.209
-0.846 1.544 11.209
1.760 -0.040 11.209